# PBE Tb7Y2Ho3, optimized geometry
data_Tb7Y2Ho3
_space_group_name_H-M_alt 'P 1'
_space_group_IT_number 1
_cell_length_a 3.5160
_cell_length_b 6.3295
_cell_length_c 17.8564
_cell_angle_alpha 75.58
_cell_angle_beta 90.00
_cell_angle_gamma 90.00
loop_
_space_group_symop_operation_xyz
'x,y,z'
loop_
_atom_site_label
_atom_site_fract_x
_atom_site_fract_y
_atom_site_fract_z
Y1 0.5000 0.6123 0.3278
Tb1 0.5000 0.9428 0.8317
Y2 0.5000 0.3877 0.6722
Tb2 0.5000 0.2420 0.5017
Ho1 0.0000 0.1075 0.3420
Tb3 0.0000 0.0000 0.0000
Tb4 0.5000 0.7580 0.4983
Ho2 0.5000 0.5000 0.0000
Ho3 0.0000 0.8925 0.6580
Tb5 0.0000 0.5602 0.1652
Tb6 0.0000 0.4398 0.8348
Tb7 0.5000 0.0572 0.1683
# Energy above the most stable polymorph in this dataset: 0.0000 eV per atom
# Crystal system: monoclinic
# V: 384.9 Å³/f.u.
# Energy of formation from the pure elements: 0.0757 eV per atom
# Density: 7.7 g/cm3

***

# PBE Tb2YHo5, optimized geometry
data_Tb2YHo5
_space_group_name_H-M_alt 'P 1'
_space_group_IT_number 1
_cell_length_a 5.0002
_cell_length_b 7.0811
_cell_length_c 14.1631
_cell_angle_alpha 90.00
_cell_angle_beta 90.00
_cell_angle_gamma 90.00
loop_
_space_group_symop_operation_xyz
'x,y,z'
loop_
_atom_site_label
_atom_site_fract_x
_atom_site_fract_y
_atom_site_fract_z
Tb1 0.5000 0.2501 0.6254
Ho1 0.5000 0.2510 0.3745
Ho2 0.0000 0.5000 0.5000
Ho3 0.5000 0.7510 0.1255
Tb2 0.5000 0.2499 0.1254
Ho4 0.0000 0.4994 0.7493
Y1 0.0000 0.0000 0.5000
Ho5 0.5000 0.7490 0.6255
Tb3 0.5000 0.7501 0.8746
Y2 0.0000 0.5000 0.0000
Ho6 0.0000 0.5006 0.2507
Ho7 0.0000 0.0000 0.0000
Ho8 0.0000 0.9994 0.7507
Ho9 0.5000 0.2490 0.8745
Ho10 0.0000 0.0006 0.2493
Tb4 0.5000 0.7499 0.3746
# Crystal system: orthorhombic
# V: 250.7 Å³/f.u.
# Energy of formation from the pure elements: 0.0171 eV per atom
# Density: 8.2 g/cm3

***

# PBE Tb3Y4Ho, optimized geometry
data_Tb3Y4Ho
_space_group_name_H-M_alt 'P 1'
_space_group_IT_number 1
_cell_length_a 6.3046
_cell_length_b 7.2935
_cell_length_c 11.2867
_cell_angle_alpha 90.00
_cell_angle_beta 90.00
_cell_angle_gamma 90.00
loop_
_space_group_symop_operation_xyz
'x,y,z'
loop_
_atom_site_label
_atom_site_fract_x
_atom_site_fract_y
_atom_site_fract_z
Tb1 0.9794 0.6239 0.7499
Y1 0.4826 0.8741 0.7496
Tb2 0.4794 0.3761 0.7501
Ho1 0.6491 0.6241 0.5000
Y2 0.4826 0.8741 0.2504
Ho2 0.1491 0.3759 0.0000
Y3 0.6466 0.1258 0.5000
Tb3 0.6494 0.6242 0.0000
Tb4 0.9794 0.6239 0.2501
Tb5 0.1494 0.3758 0.5000
Y4 0.6461 0.1259 0.0000
Y5 0.9826 0.1259 0.7504
Y6 0.1461 0.8741 0.5000
Tb6 0.4794 0.3761 0.2499
Y7 0.9826 0.1259 0.2496
Y8 0.1466 0.8742 0.0000
# Energy above the most stable polymorph in this dataset: 0.0000 eV per atom
# Crystal system: orthorhombic
# V: 259.5 Å³/f.u.
# Energy of formation from the pure elements: 0.0043 eV per atom
# Density: 6.4 g/cm3

***

# PBE TbY5Ho6, optimized geometry
data_TbY5Ho6
_space_group_name_H-M_alt 'P 1'
_space_group_IT_number 1
_cell_length_a 11.7599
_cell_length_b 6.1447
_cell_length_c 6.1395
_cell_angle_alpha 59.97
_cell_angle_beta 85.03
_cell_angle_gamma 80.02
loop_
_space_group_symop_operation_xyz
'x,y,z'
loop_
_atom_site_label
_atom_site_fract_x
_atom_site_fract_y
_atom_site_fract_z
Y1 0.5000 0.8332 0.3336
Ho1 0.7502 0.4158 0.6673
Ho2 0.2498 0.2497 0.0000
Y2 0.0000 0.3333 0.3333
Y3 0.0000 0.6667 0.6667
Ho3 0.7502 0.0830 0.3327
Ho4 0.7502 0.7503 0.0000
Y4 0.5000 0.5000 0.0000
Ho5 0.2498 0.5842 0.3327
Y5 0.5000 0.1668 0.6664
Tb1 0.0000 0.0000 0.0000
Ho6 0.2498 0.9170 0.6673
# Crystal system: monoclinic
# V: 378.3 Å³/f.u.
# Energy of formation from the pure elements: 0.0223 eV per atom
# Density: 7.0 g/cm3

***

# PBE Tb7YHo3, optimized geometry
data_Tb7YHo3
_space_group_name_H-M_alt 'P 1'
_space_group_IT_number 1
_cell_length_a 8.9197
_cell_length_b 9.8613
_cell_length_c 5.5312
_cell_angle_alpha 89.98
_cell_angle_beta 128.33
_cell_angle_gamma 105.80
loop_
_space_group_symop_operation_xyz
'x,y,z'
loop_
_atom_site_label
_atom_site_fract_x
_atom_site_fract_y
_atom_site_fract_z
Tb1 0.5000 0.0000 0.5000
Ho1 0.7796 0.9983 0.2796
Tb2 0.0809 0.1695 0.0810
Y1 0.5000 0.5000 0.5000
Tb3 0.3527 0.7090 0.8525
Ho2 0.0000 0.5000 0.0000
Tb4 0.6473 0.2910 0.1475
Tb5 0.1785 0.3584 0.6785
Tb6 0.8215 0.6416 0.3215
Tb7 0.9191 0.8305 0.9190
Ho3 0.2204 0.0017 0.7204
# Energy above the most stable polymorph in this dataset: 0.0000 eV per atom
# Crystal system: monoclinic
# V: 357.9 Å³/f.u.
# Energy of formation from the pure elements: 0.1374 eV per atom
# Density: 7.9 g/cm3

***

# PBE Tb3Y4Ho2, optimized geometry
data_Tb3Y4Ho2
_space_group_name_H-M_alt 'P 1'
_space_group_IT_number 1
_cell_length_a 6.1121
_cell_length_b 11.2601
_cell_length_c 11.2601
_cell_angle_alpha 61.78
_cell_angle_beta 62.23
_cell_angle_gamma 62.23
loop_
_space_group_symop_operation_xyz
'x,y,z'
loop_
_atom_site_label
_atom_site_fract_x
_atom_site_fract_y
_atom_site_fract_z
Y1 0.4247 0.5733 0.8505
Ho1 0.9176 0.5223 0.2388
Y2 0.4206 0.9050 0.1878
Tb1 0.7481 0.0690 0.2650
Y3 0.0794 0.8122 0.0950
Tb2 0.7519 0.7350 0.9310
Ho2 0.4176 0.2388 0.5223
Tb3 0.2500 0.5948 0.4052
Tb4 0.2481 0.2650 0.0690
Ho3 0.5824 0.7612 0.4777
Y4 0.9206 0.1878 0.9050
Tb5 0.7500 0.4052 0.5948
Y5 0.9247 0.8505 0.5733
Ho4 0.0824 0.4777 0.7612
Y6 0.5753 0.4267 0.1495
Y7 0.5794 0.0950 0.8122
Y8 0.0753 0.1495 0.4267
Tb6 0.2519 0.9310 0.7350
# Energy above the most stable polymorph in this dataset: 0.0807 eV per atom
# Crystal system: monoclinic
# V: 286.7 Å³/f.u.
# Energy of formation from the pure elements: 0.1003 eV per atom
# Density: 6.7 g/cm3